Entry 1:
Na2MgPb: relaxed, PBE.

The space group is Cmcm (No. 63) and the conventional cell measures 3.3042, 25.3958 and 5.3442 Å, with angles of 90.00, 90.00 and 90.00 degrees. The inequivalent atoms are Na at (0.0000, 0.0287, 0.2500), Na at (0.0000, 0.2219, 0.7500), Mg at (0.0000, 0.1511, 0.2500) and Pb at (0.0000, 0.4010, 0.2500).

As for the calculated density: 4110 kg/m3. The calculation puts the calculated formation energy at -0.013 eV/atom. As for the crystal system: orthorhombic. The calculation puts the density of states at the Fermi level at 0.398 states/eV per atom.

Entry 2:
NaMg5Pb5: relaxed, PBE.

The space group is P-6m2 (No. 187) and the conventional cell measures 5.8113, 5.8113 and 10.6361 Å, with angles of 90.00, 90.00 and 120.00 degrees. The inequivalent atoms are Na at (0.0000, 0.0000, 0.0000), Mg at (0.0035, 0.5017, 0.5000), Mg at (0.6667, 0.3333, 0.2618), Pb at (0.0000, 0.0000, 0.3409), Pb at (0.3333, 0.6667, 0.2040) and Pb at (0.6667, 0.3333, 0.0000).

As for the calculated density: 6302 kg/m3. The calculation puts the calculated formation energy at 0.006 eV/atom. As for the crystal system: hexagonal. The calculation puts the density of states at the Fermi level at 0.455 states/eV per atom.

Entry 3:
Na12MgPb7: relaxed, PBE.

The space group is R-3 (No. 148, hexagonal axes) and the conventional cell measures 18.9864, 18.9864 and 6.5276 Å, with angles of 90.00, 90.00 and 120.00 degrees. The inequivalent atoms are Na at (0.0240, 0.5967, 0.1025), Na at (0.0699, 0.2007, 0.8581), Mg at (0.0000, 0.0000, 0.5000), Pb at (0.0000, 0.0000, 0.0000) and Pb at (0.0497, 0.1721, 0.3577).

As for the calculated density: 4279 kg/m3. The calculation puts the calculated formation energy at -0.088 eV/atom. As for the crystal system: trigonal. The calculation puts the density of states at the Fermi level at 0.387 states/eV per atom.

Entry 4:
NaMg3Pb: relaxed, PBE.

The space group is Pm-3m (No. 221) and the conventional cell measures 5.3176, 5.3176 and 5.3176 Å, with angles of 90.00, 90.00 and 90.00 degrees. The inequivalent atoms are Na at (0.0000, 0.0000, 0.0000), Mg at (0.0000, 0.0000, 0.5000) and Pb at (0.5000, 0.5000, 0.5000).

As for the calculated density: 3347 kg/m3. The calculation puts the calculated formation energy at 0.593 eV/atom. As for the crystal system: cubic. The calculation puts the density of states at the Fermi level at 0.473 states/eV per atom.

Entry 5:
Na2MgPb: relaxed, PBE.

The space group is P4/mmm (No. 123) and the conventional cell measures 5.7213, 5.7213 and 3.4480 Å, with angles of 90.00, 90.00 and 90.00 degrees. The inequivalent atoms are Na at (0.0000, 0.5000, 0.0000), Mg at (0.0000, 0.0000, 0.5000) and Pb at (0.5000, 0.5000, 0.5000).

As for the calculated density: 4083 kg/m3. The calculation puts the calculated formation energy at 0.004 eV/atom. As for the crystal system: tetragonal. The calculation puts the density of states at the Fermi level at 0.565 states/eV per atom.

Entry 6:
Na2MgPb: relaxed, PBE.

The space group is I-42d (No. 122) and the conventional cell measures 8.8914, 8.8914 and 6.1401 Å, with angles of 90.00, 90.00 and 90.00 degrees. The inequivalent atoms are Na at (0.2446, 0.2500, 0.1250), Mg at (0.0000, 0.0000, 0.5000) and Pb at (0.0000, 0.0000, 0.0000).

As for the calculated density: 3797 kg/m3. The calculation puts the calculated formation energy at 0.107 eV/atom. As for the crystal system: tetragonal. The calculation puts the density of states at the Fermi level at 0.258 states/eV per atom.

Entry 7:
Na2MgPb2: relaxed, PBE.

The space group is C2/m (No. 12) and the conventional cell measures 11.2662, 5.2052 and 10.8074 Å, with angles of 90.00, 110.21 and 90.00 degrees. The inequivalent atoms are Na at (0.0225, 0.0000, 0.3364), Na at (0.1657, 0.0000, 0.0693), Mg at (0.2227, 0.5000, 0.3706), Pb at (0.0169, 0.5000, 0.8616) and Pb at (0.1359, 0.5000, 0.6166).

As for the calculated density: 5413 kg/m3. The calculation puts the calculated formation energy at -0.103 eV/atom. As for the crystal system: monoclinic. The calculation puts the density of states at the Fermi level at 0.294 states/eV per atom.

Entry 8:
NaMgPb2: relaxed, PBE.

The space group is R3m (No. 160, hexagonal axes) and the conventional cell measures 5.0505, 5.0505 and 16.6634 Å, with angles of 90.00, 90.00 and 120.00 degrees. The inequivalent atoms are Na at (0.0000, 0.0000, 0.0000), Mg at (0.0000, 0.0000, 0.8022), Pb at (0.0000, 0.0000, 0.2168) and Pb at (0.0000, 0.0000, 0.4255).

As for the calculated density: 6248 kg/m3. The calculation puts the calculated formation energy at -0.031 eV/atom. As for the crystal system: trigonal. The calculation puts the density of states at the Fermi level at 0.605 states/eV per atom.

> Look up the calculated formation energy of the fourth one.

0.593 eV/atom

> Among the records above, which one has the highest calculated formation energy?

NaMg3Pb

> Which formula does entry 3 have?

Na12MgPb7